A plane-wave DFT calculation with PBE was carried out for an optimized crystal structure of La2NdGaO.

Cell lengths 4.9546, 4.9955, 4.9955 Å; angles 90.00, 90.00, 90.00 degrees
Closest atoms and distances in Å follow each position.
Element x y z (fractional)
La (0.0000, 0.0000, 0.5000)  2 O 2.50
La (0.0000, 0.5000, 0.0000)  2 O 2.50
Nd (0.5000, 0.0000, 0.0000)  2 O 2.48
Ga (0.5000, 0.5000, 0.5000)  8 La 3.52, 4 Nd 3.53
O (0.0000, 0.0000, 0.0000)  2 Nd 2.48, 4 La 2.50

Calculated values
The calculation puts the energy relative to the elements, uncorrected at -667 kJ/mol of formula units. For the density of states at the Fermi level, the calculation gives 2.5 states/eV per cell. For the total moment, the calculation gives 0.00 μB/cell. Its space group is P4/mmm (123).

***

A plane-wave DFT calculation with PBE was carried out for an optimized crystal structure of K3HoSi3O9.

Cell lengths 5.8839, 12.9998, 14.0002 Å; angles 90.00, 90.00, 90.00 degrees
Closest atoms and distances in Å follow each position.
Element x y z (fractional)
K (0.1891, 0.0670, 0.0000)  6 O 2.78-2.98
K (0.1824, 0.8154, 0.0000)  6 O 2.81-3.03
K (0.1580, 0.8498, 0.5000)  5 O 2.88-3.14
K (0.6569, 0.1266, 0.7866)  3 O 2.66-2.83
K (0.3431, 0.6266, 0.2866)  3 O 2.66-2.83
K (0.8420, 0.3498, 0.0000)  5 O 2.88-3.14
K (0.8176, 0.3154, 0.5000)  6 O 2.81-3.03
K (0.3431, 0.6266, 0.7134)  3 O 2.66-2.83
K (0.8109, 0.5670, 0.5000)  6 O 2.78-2.98
K (0.6569, 0.1266, 0.2134)  3 O 2.66-2.83
K (0.7529, 0.6091, 0.0000)  3 O 2.72-2.75
K (0.2471, 0.1091, 0.5000)  3 O 2.72-2.75
Ho (0.8380, 0.4599, 0.2594)  6 O 2.23-2.29
Ho (0.1620, 0.9599, 0.7594)  6 O 2.23-2.29
Ho (0.8380, 0.4599, 0.7406)  6 O 2.23-2.29
Ho (0.1620, 0.9599, 0.2406)  6 O 2.23-2.29
Si (0.3183, 0.3700, 0.6103)  4 O 1.62-1.69
Si (0.6817, 0.8700, 0.1103)  4 O 1.62-1.69
Si (0.6817, 0.8700, 0.8897)  4 O 1.62-1.69
Si (0.3376, 0.4370, 0.1154)  4 O 1.62-1.68
Si (0.6624, 0.9370, 0.3846)  4 O 1.62-1.68
Si (0.1647, 0.2469, 0.7828)  4 O 1.62-1.68
Si (0.6624, 0.9370, 0.6154)  4 O 1.62-1.68
Si (0.1647, 0.2469, 0.2172)  4 O 1.62-1.68
Si (0.3376, 0.4370, 0.8846)  4 O 1.62-1.68
Si (0.8353, 0.7469, 0.7172)  4 O 1.62-1.68
Si (0.8353, 0.7469, 0.2828)  4 O 1.62-1.68
Si (0.3183, 0.3700, 0.3897)  4 O 1.62-1.69
O (0.3271, 0.3104, 0.1380)  2 Si 1.68
O (0.0885, 0.7960, 0.2836)  1 Si 1.62
O (0.1788, 0.1261, 0.1905)  1 Si 1.62
O (0.5926, 0.4792, 0.8635)  1 Si 1.62
O (0.7091, 0.7630, 0.8241)  2 Si 1.68
O (0.3320, 0.3169, 0.5000)  2 Si 1.69
O (0.6729, 0.8104, 0.3620)  2 Si 1.68
O (0.6729, 0.8104, 0.6380)  2 Si 1.68
O (0.5571, 0.4281, 0.6313)  1 Si 1.62
O (0.4074, 0.9792, 0.3635)  1 Si 1.62
O (0.5926, 0.4792, 0.1365)  1 Si 1.62
O (0.1339, 0.4995, 0.1667)  1 Si 1.62
O (0.1788, 0.1261, 0.8095)  1 Si 1.62
O (0.0906, 0.4395, 0.3820)  1 Si 1.62
O (0.0885, 0.7960, 0.7164)  1 Si 1.62
O (0.3271, 0.3104, 0.8620)  2 Si 1.68
O (0.5571, 0.4281, 0.3687)  1 Si 1.62
O (0.9094, 0.9395, 0.1180)  1 Si 1.62
O (0.8212, 0.6261, 0.6905)  1 Si 1.62
O (0.6680, 0.8169, 0.0000)  2 Si 1.69
O (0.0906, 0.4395, 0.6180)  1 Si 1.62
O (0.7162, 0.9452, 0.5000)  2 Si 1.65
O (0.4429, 0.9281, 0.1313)  1 Si 1.62
O (0.1339, 0.4995, 0.8333)  1 Si 1.62
O (0.8661, 0.9995, 0.3333)  1 Si 1.62
O (0.7091, 0.7630, 0.1759)  2 Si 1.68
O (0.9094, 0.9395, 0.8820)  1 Si 1.62
O (0.8212, 0.6261, 0.3095)  1 Si 1.62
O (0.4429, 0.9281, 0.8687)  1 Si 1.62
O (0.2909, 0.2630, 0.6759)  2 Si 1.68
O (0.8661, 0.9995, 0.6667)  1 Si 1.62
O (0.2909, 0.2630, 0.3241)  2 Si 1.68
O (0.2838, 0.4452, 0.0000)  2 Si 1.65
O (0.4074, 0.9792, 0.6365)  1 Si 1.62
O (0.9115, 0.2960, 0.7836)  1 Si 1.62
O (0.9115, 0.2960, 0.2164)  1 Si 1.62

Calculated values
The calculation puts the energy relative to the elements, uncorrected at -4219 kJ/mol of formula units. For the density of states at the Fermi level, the calculation gives 0.0 states/eV per cell. For the total moment, the calculation gives 0.00 μB/cell. Its space group is Pmn2_1 (31).

***

A plane-wave DFT calculation with PBE was carried out for an optimized crystal structure of AgPPb2.

Cell lengths 4.1334, 4.3301, 5.9546 Å; angles 68.78, 90.00, 90.00 degrees
Closest atoms and distances in Å follow each position.
Element x y z (fractional)
Ag (0.0000, 0.6962, 0.4823)  2 P 2.69
P (0.5000, 0.5424, 0.7915)  2 Ag 2.69, 1 Pb 2.88
Pb (0.0000, 0.9789, 0.9165)  4 P 3.07-3.08, 3 Ag 3.14-3.24
Pb (0.5000, 0.2825, 0.3097)  1 P 2.88, 4 Ag 3.14

Calculated values
For the density of states at the Fermi level, the calculation gives 1.7 states/eV per cell. For the total moment, the calculation gives 0.00 μB/cell. Its space group is Pm (6). For the formation enthalpy at 0 K, the calculation gives 0.11 eV/atom.

***

A plane-wave DFT calculation with PBE was carried out for an optimized crystal structure of Al2WCl.

Cell lengths 5.8518, 5.8518, 5.8518 Å; angles 152.25, 130.49, 57.71 degrees
Closest atoms and distances in Å follow each position.
Element x y z (fractional)
Al (0.0308, 0.0308, 0.0000)  2 W 2.70, 2 Al 2.81, 4 Cl 2.93
Al (0.7570, 0.2570, 0.5000)  4 Al 2.81-3.14, 4 W 2.82
W (0.2562, 0.7562, 0.5000)  2 Cl 2.48, 2 Al 2.70
Cl (0.4560, 0.4560, 0.0000)  2 W 2.48

Calculated values
The calculation puts the energy relative to the elements, uncorrected at 85 kJ/mol of formula units. For the density of states at the Fermi level, the calculation gives 3.2 states/eV per cell. For the total moment, the calculation gives 0.00 μB/cell. Its space group is Imm2 (44).

***

A plane-wave DFT calculation with PBE was carried out for an optimized crystal structure of RbInGaSb.

Cell lengths 4.6001, 4.6001, 14.0651 Å; angles 90.00, 90.00, 90.00 degrees
Closest atoms and distances in Å follow each position.
Element x y z (fractional)
Rb (0.7500, 0.7500, 0.2590)  4 Sb 3.85, 4 In 4.10
Rb (0.2500, 0.2500, 0.7410)  4 Sb 3.85, 4 In 4.10
In (0.2500, 0.7500, 0.5000)  4 In 3.25
In (0.7500, 0.2500, 0.5000)  4 In 3.25
Ga (0.7500, 0.2500, 0.0000)  4 Sb 2.80
Ga (0.2500, 0.7500, 0.0000)  4 Sb 2.80
Sb (0.7500, 0.7500, 0.8869)  4 Ga 2.80
Sb (0.2500, 0.2500, 0.1131)  4 Ga 2.80

Calculated values
The calculation puts the energy relative to the elements, uncorrected at -63 kJ/mol of formula units. For the density of states at the Fermi level, the calculation gives 4.7 states/eV per cell. For the total moment, the calculation gives 0.00 μB/cell. Its space group is P4/nmm (129).

***

A plane-wave DFT calculation with PBE was carried out for an optimized crystal structure of KCuCl2.

Cell lengths 7.3219, 7.3219, 7.3219 Å; angles 151.57, 149.51, 42.17 degrees
Closest atoms and distances in Å follow each position.
Element x y z (fractional)
K (0.2966, 0.7966, 0.5000)  6 Cl 3.06-3.11
Cu (0.5568, 0.5568, 0.0000)  2 Cl 2.43
Cl (0.9704, 0.9704, 0.0000)  4 Cu 2.89, 2 K 3.06
Cl (0.6762, 0.1762, 0.5000)  2 Cu 2.43

Calculated values
The calculation puts the energy relative to the elements, uncorrected at -360 kJ/mol of formula units. For the total moment, the calculation gives 0.05 μB/cell. Its space group is Imm2 (44).

***

A plane-wave DFT calculation with PBE was carried out for an optimized crystal structure of EuHoLuCd.

Cell lengths 5.5016, 5.5016, 5.5016 Å; angles 60.00, 60.00, 60.00 degrees
Closest atoms and distances in Å follow each position.
Element x y z (fractional)
Eu (0.0000, 0.0000, 0.0000)  4 Cd 3.37, 4 Lu 3.37
Lu (0.2500, 0.2500, 0.2500)  4 Ho 3.37, 4 Eu 3.37
Ho (0.5000, 0.5000, 0.5000)  4 Cd 3.37, 4 Lu 3.37
Cd (0.7500, 0.7500, 0.7500)  4 Ho 3.37, 4 Eu 3.37

Calculated values
For the density of states at the Fermi level, the calculation gives 2.7 states/eV per cell. For the total moment, the calculation gives 7.05 μB/cell. Its space group is F-43m (216). For the formation enthalpy at 0 K, the calculation gives -0.01 eV/atom.

***

A plane-wave DFT calculation with PBE was carried out for an optimized crystal structure of Ca2Al4CdAg3.

Cell lengths 4.3107, 4.3107, 11.5469 Å; angles 90.00, 90.00, 90.00 degrees
Closest atoms and distances in Å follow each position.
Element x y z (fractional)
Ca (0.5000, 0.0000, 0.2441)  6 Ag 3.30-3.66, 8 Al 3.31-3.55, 2 Cd 3.66
Ca (0.0000, 0.5000, 0.7559)  6 Ag 3.30-3.66, 8 Al 3.31-3.55, 2 Cd 3.66
Al (0.5000, 0.5000, 0.0000)  4 Ag 2.66
Al (0.0000, 0.0000, 0.0000)  4 Ag 2.66
Al (0.5000, 0.0000, 0.6440)  3 Ag 2.55-2.72, 2 Cd 2.72
Al (0.0000, 0.5000, 0.3560)  3 Ag 2.55-2.72, 2 Cd 2.72
Cd (0.5000, 0.5000, 0.5000)  4 Al 2.72, 4 Ag 3.05
Ag (0.0000, 0.0000, 0.5000)  4 Al 2.72, 4 Cd 3.05
Ag (0.5000, 0.0000, 0.8648)  5 Al 2.55-2.66
Ag (0.0000, 0.5000, 0.1352)  5 Al 2.55-2.66

Calculated values
For the density of states at the Fermi level, the calculation gives 2.3 states/eV per cell. For the total moment, the calculation gives 0.00 μB/cell. Its space group is P-4m2 (115). For the formation enthalpy at 0 K, the calculation gives -0.23 eV/atom.